[1]
A plane-wave DFT calculation with PBE was carried out for a relaxed structure of CrFeNi5.

- DOS(E_F) (states/eV/atom) = 1.323
- DFT formation energy (eV per formula unit) = 0.8
- crystal system = monoclinic
- energy above the most stable polymorph in this dataset (eV/atom) = 0.000
- space-group type = C2/c
- raw total energy (eV per cell) = -92.41

a = 4.5110 Å, b = 4.5110 Å, c = 8.5476 Å
α = 103.87°, β = 103.87°, γ = 97.23°
Last column: nearest neighbours and their distance in Å.
Positions (direct):
Cr 0.5175 0.4825 0.7500  9 Ni 2.37-2.52
Cr 0.4825 0.5175 0.2500  9 Ni 2.37-2.52
Fe 0.0000 0.0000 0.0000  6 Ni 2.32-2.49
Fe 0.0000 0.0000 0.5000  6 Ni 2.32-2.49
Ni 0.4045 0.0050 0.8464  8 Ni 2.40-2.66, 2 Cr 2.46-2.52, 1 Fe 2.49
Ni 0.4585 0.7629 0.5405  5 Ni 2.37-2.61, 2 Cr 2.41-2.50, 1 Fe 2.44
Ni 0.0050 0.4045 0.3464  8 Ni 2.40-2.66, 2 Cr 2.46-2.52, 1 Fe 2.49
Ni 0.8671 0.1329 0.7500  2 Fe 2.32, 1 Cr 2.37, 6 Ni 2.37-2.55
Ni 0.2371 0.5415 0.9595  5 Ni 2.37-2.61, 2 Cr 2.41-2.50, 1 Fe 2.44
Ni 0.7629 0.4585 0.0405  5 Ni 2.37-2.61, 2 Cr 2.41-2.50, 1 Fe 2.44
Ni 0.1329 0.8671 0.2500  2 Fe 2.32, 1 Cr 2.37, 6 Ni 2.37-2.55
Ni 0.9950 0.5955 0.6536  8 Ni 2.40-2.66, 2 Cr 2.46-2.52, 1 Fe 2.49
Ni 0.5415 0.2371 0.4595  5 Ni 2.37-2.61, 2 Cr 2.41-2.50, 1 Fe 2.44
Ni 0.5955 0.9950 0.1536  8 Ni 2.40-2.66, 2 Cr 2.46-2.52, 1 Fe 2.49

---

[2]
A plane-wave DFT calculation with PBE was carried out for a relaxed structure of CaAc6Tm2.

- DOS(E_F) (states/eV/atom) = 1.340
- DFT formation energy (eV per formula unit) = 4.5
- crystal system = trigonal
- space-group type = P-31m
- raw total energy (eV per cell) = -31.14

a = 6.7044 Å, b = 6.7044 Å, c = 11.5481 Å
α = 90.00°, β = 90.00°, γ = 120.00°
Last column: nearest neighbours and their distance in Å.
Positions (direct):
Ca 0.0000 0.0000 0.0000  6 Ac 3.75
Ac 0.3330 0.3330 0.7390  2 Tm 3.55, 1 Ca 3.75, 6 Ac 3.87
Ac 0.6670 0.0000 0.7390  2 Tm 3.55, 1 Ca 3.75, 6 Ac 3.87
Ac 0.0000 0.6670 0.7390  2 Tm 3.55, 1 Ca 3.75, 6 Ac 3.87
Ac 0.3330 0.0000 0.2610  2 Tm 3.55, 1 Ca 3.75, 6 Ac 3.87
Ac 0.0000 0.3330 0.2610  2 Tm 3.55, 1 Ca 3.75, 6 Ac 3.87
Ac 0.6670 0.6670 0.2610  2 Tm 3.55, 1 Ca 3.75, 6 Ac 3.87
Tm 0.6667 0.3333 0.5000  6 Ac 3.55, 3 Tm 3.87
Tm 0.3333 0.6667 0.5000  6 Ac 3.55, 3 Tm 3.87

---

[3]
A plane-wave DFT calculation with PBE was carried out for a relaxed structure of Ba2ZrHg.

- DOS(E_F) (states/eV/atom) = 1.523
- DFT formation energy (eV per formula unit) = 1.6
- crystal system = orthorhombic
- space-group type = Immm
- raw total energy (eV per cell) = -11.14

a = 6.9135 Å, b = 6.9135 Å, c = 5.4435 Å
α = 66.86°, β = 66.86°, γ = 35.79°
Last column: nearest neighbours and their distance in Å.
Positions (direct):
Ba 0.9681 0.9681 0.0319  2 Hg 3.37, 4 Ba 3.54, 1 Zr 3.77
Ba 0.5319 0.5319 0.4681  2 Hg 3.37, 4 Ba 3.54, 1 Zr 3.77
Hg 0.2500 0.2500 0.2500  4 Ba 3.37, 4 Zr 3.45
Zr 0.7500 0.7500 0.7500  4 Hg 3.45, 4 Ba 3.77-3.78

---

[4]
A plane-wave DFT calculation with PBE was carried out for a relaxed structure of Co2Si.

- DOS(E_F) (states/eV/atom) = 1.240
- ΔE_f (raw) (eV/atom) = -0.0202
- crystal system = tetragonal
- space-group type = P4/mmm
- raw total energy (eV per cell) = -19.70

a = 3.7846 Å, b = 3.7846 Å, c = 2.6250 Å
α = 90.00°, β = 90.00°, γ = 90.00°
Last column: nearest neighbours and their distance in Å.
Positions (direct):
Co 0.0000 0.5000 0.5000  4 Si 2.30
Co 0.5000 0.0000 0.5000  4 Si 2.30
Si 0.0000 0.0000 0.0000  8 Co 2.30

---

[5]
A plane-wave DFT calculation with PBE was carried out for a relaxed structure of VIn2RuRh.

- DOS(E_F) (states/eV/atom) = 1.573
- DFT formation energy (eV per formula unit) = 6.0
- crystal system = tetragonal
- space-group type = P4/mmm
- raw total energy (eV per cell) = -25.19

a = 4.9698 Å, b = 4.6858 Å, c = 4.9698 Å
α = 90.00°, β = 90.00°, γ = 90.00°
Last column: nearest neighbours and their distance in Å.
Positions (direct):
Ru 0.0000 0.5000 0.0000  2 Rh 2.34
V 0.5000 0.5000 0.5000  8 In 3.42, 4 Ru 3.51
Rh 0.0000 0.0000 0.0000  2 Ru 2.34, 4 In 2.48
In 0.0000 0.0000 0.5000  2 Rh 2.48
In 0.5000 0.0000 0.0000  2 Rh 2.48

---

[6]
A plane-wave DFT calculation with PBE was carried out for a relaxed structure of Eu2ZnGe.

- DOS(E_F) (states/eV/atom) = 0.759
- DFT formation energy (eV per formula unit) = 0.1
- crystal system = trigonal
- space-group type = R-3m
- raw total energy (eV per cell) = -26.35

a = 3.8490 Å, b = 3.8490 Å, c = 10.8015 Å
α = 79.74°, β = 79.74°, γ = 60.00°
Last column: nearest neighbours and their distance in Å.
Positions (direct):
Eu 0.1014 0.1014 0.6957  3 Ge 3.04, 1 Zn 3.22
Eu 0.8986 0.8986 0.3043  3 Ge 3.04, 1 Zn 3.22
Ge 0.5000 0.5000 0.5000  6 Eu 3.04
Zn 0.0000 0.0000 0.0000  2 Eu 3.22